8
Lattice="-0.2918 -1.4410 3.3101 -6.2603 -1.8914 -1.9072 4.8700 -3.2926 -2.8134" Properties=species:S:1:pos:R:3 comment="KNiO2, optimized geometry, DFT PBE with a Hubbard U" vol_a3_per_atom=17.2 rho_g_cm3=3.1 dft_energy_ev_per_atom=-4.1828 magmom_total_mub_per_fu=2.0 pbc="T T T"
Ni -1.3619 -4.3459 -2.9601
Ni -5.7274 -3.6355 0.6294
K -2.2104 -2.5658 -0.0655
K 1.1604 -3.4281 -0.1387
O -0.5684 -2.9471 1.8693
O -0.7938 -5.1678 -1.2758
O -3.1579 -3.8255 -3.1203
O -3.6761 -2.7860 -2.1953